A relaxed CdPRh crystal. Source: the Alexandria database, functional PBE.

Calculated values
- Calculated total energy: -0.363 Ry per atom
- Formation energy: -0.380 eV per atom
- Space group: No. 156

a = 3.193 Å, b = 3.193 Å, c = 6.176 Å
α = 90.00°, β = 90.00°, γ = 120.00°
Positions (direct):
Cd 0.000 0.000 0.000
P 0.000 0.000 0.423
Rh 0.667 0.333 0.639

A relaxed CdPRh crystal. Source: the Alexandria database, functional PBE.

Calculated values
- Calculated total energy: -0.363 Ry per atom
- Formation energy: -0.382 eV per atom
- Space group: No. 160

a = 6.423 Å, b = 6.423 Å, c = 6.423 Å
α = 29.02°, β = 29.02°, γ = 29.02°
Positions (direct):
Cd 0.000 0.000 0.000
P 0.142 0.142 0.142
Rh 0.546 0.546 0.546

A relaxed CdP2Rh crystal. Source: the Alexandria database, functional PBE.

Calculated values
- Calculated total energy: -0.365 Ry per atom
- Formation energy: -0.199 eV per atom
- Space group: No. 12

a = 3.953 Å, b = 3.953 Å, c = 5.558 Å
α = 90.97°, β = 90.97°, γ = 56.30°
Positions (direct):
Cd 0.000 0.000 0.000
P 0.323 0.323 0.670
P 0.677 0.677 0.330
Rh 0.000 0.000 0.500

A relaxed CdP2Rh crystal. Source: the Alexandria database, functional PBE.

Calculated values
- Calculated total energy: -0.333 Ry per atom
- Formation energy: 0.243 eV per atom
- Space group: No. 12

a = 4.483 Å, b = 4.483 Å, c = 3.296 Å
α = 90.17°, β = 90.17°, γ = 104.30°
Positions (direct):
Cd 0.000 0.000 0.000
P 0.000 0.500 0.500
P 0.500 0.000 0.500
Rh 0.500 0.500 0.000

A relaxed CdPRh crystal. Source: the Alexandria database, functional PBE.

Calculated values
- Calculated total energy: -0.354 Ry per atom
- Formation energy: -0.252 eV per atom
- Space group: No. 8

a = 4.315 Å, b = 4.315 Å, c = 4.677 Å
α = 99.35°, β = 99.35°, γ = 41.29°
Positions (direct):
Cd 0.000 0.000 0.000
P 0.274 0.274 0.533
Rh 0.562 0.562 0.512

A relaxed CdP2Rh crystal. Source: the Alexandria database, functional PBE.

Calculated values
- Calculated total energy: -0.350 Ry per atom
- Formation energy: 0.012 eV per atom
- Space group: No. 123

a = 3.474 Å, b = 3.474 Å, c = 5.611 Å
α = 90.00°, β = 90.00°, γ = 90.00°
Positions (direct):
Cd 0.000 0.000 0.000
P 0.500 0.500 0.312
P 0.500 0.500 0.688
Rh 0.000 0.000 0.500

Which formula does entry 2 have?
CdPRh